No. 1
GGA-PBEsol CsHfAu3, optimized geometry; SG = No. 221; DFT formation energy = 0.166 eV/atom; total energy = -4.48 eV/atom
1.0
-5.0183 -1.3036 1.1283
-0.4217 -2.4389 -4.6936
1.6717 -4.5286 2.2030
Cs Hf Au
1 1 3
Direct
0.5000 0.5000 0.5000
0.0000 0.0000 0.0000
0.0000 0.5000 0.0000
0.0000 0.0000 0.5000
0.5000 0.0000 0.0000



No. 2
GGA-PBEsol CsHfPt2Au, optimized geometry; SG = No. 123; DFT formation energy = 0.277 eV/atom; total energy = -5.58 eV/atom
1.0
-3.3541 -0.3456 -3.7222
1.3671 -4.7678 -0.7892
-3.7320 -1.6522 3.5163
Cs Hf Au Pt
1 1 1 2
Direct
0.5000 0.5000 0.5000
0.0000 0.0000 0.0000
0.0000 0.0000 0.5000
0.0000 0.5000 0.0000
0.5000 0.0000 0.0000



No. 3
GGA-PBEsol Cs2HgAu2, optimized geometry; SG = No. 127; DFT formation energy = -0.017 eV/atom; polymorph energy (0 for the lowest one) = 147.1 meV per atom; total energy = -2.08 eV/atom
1.0
4.0938 0.0000 0.0000
0.0000 9.6763 0.0000
0.0000 0.0000 9.6763
Cs Au Hg
4 4 2
Direct
0.0000 0.3539 0.8539
0.0000 0.8539 0.6461
0.0000 0.6461 0.1461
0.0000 0.1461 0.3539
0.5000 0.1502 0.6502
0.5000 0.6502 0.8498
0.5000 0.8498 0.3498
0.5000 0.3498 0.1502
0.0000 0.0000 0.0000
0.0000 0.5000 0.5000



No. 4
GGA-PBEsol Cs2HgAu2, optimized geometry; SG = No. 139; DFT formation energy = -0.164 eV/atom; polymorph energy (0 for the lowest one) = 0.0 meV per atom; total energy = -2.22 eV/atom
1.0
6.2632 -0.0111 -0.0173
-2.5790 5.7076 0.0173
-2.5790 -2.3717 5.1915
Cs Au Hg
2 2 1
Direct
0.5000 0.7500 0.2500
0.5000 0.2500 0.7500
0.0000 0.6631 0.6631
0.0000 0.3369 0.3369
0.0000 0.0000 0.0000



No. 5
GGA-PBEsol CsHg2Au, optimized geometry; SG = No. 225; DFT formation energy = -0.019 eV/atom; polymorph energy (0 for the lowest one) = 87.2 meV per atom; total energy = -1.52 eV/atom
1.0
5.5124 0.0000 0.0000
2.7562 4.7739 0.0000
2.7562 1.5913 4.5009
Cs Au Hg
1 1 2
Direct
0.0000 0.0000 0.0000
0.5000 0.5000 0.5000
0.2500 0.2500 0.2500
0.7500 0.7500 0.7500



No. 6
GGA-PBEsol CsHg2Au, optimized geometry; SG = No. 122; DFT formation energy = -0.107 eV/atom; polymorph energy (0 for the lowest one) = 0.0 meV per atom; total energy = -1.61 eV/atom
1.0
-2.7944 4.9475 1.0367
-2.8343 -0.5527 -5.0022
-3.8742 -6.8776 6.2897
Cs Au Hg
2 2 4
Direct
0.7500 0.2500 0.5000
0.5000 0.5000 0.0000
0.2500 0.7500 0.5000
0.0000 0.0000 0.0000
0.0800 0.3750 0.2500
0.1700 0.8750 0.2500
0.6250 0.8300 0.7500
0.1250 0.9200 0.7500



No. 7
GGA-PBEsol Cs3HgAu, optimized geometry; SG = No. 221; DFT formation energy = -0.032 eV/atom; total energy = -1.50 eV/atom
1.0
-5.3003 2.7989 -3.0173
1.3224 -3.5007 -5.5703
-3.8974 -4.9943 2.2135
Cs Au Hg
3 1 1
Direct
0.0000 0.5000 0.0000
0.0000 0.0000 0.5000
0.5000 0.0000 0.0000
0.0000 0.0000 0.0000
0.5000 0.5000 0.5000



No. 8
GGA-PBEsol CsHg2Au2, optimized geometry; SG = No. 139; DFT formation energy = -0.109 eV/atom; total energy = -2.09 eV/atom
1.0
5.0580 0.0000 0.0000
0.0000 5.0580 0.0000
-2.5290 -2.5290 5.3697
Cs Au Hg
1 2 2
Direct
0.0000 0.0000 0.0000
0.2500 0.7500 0.5000
0.7500 0.2500 0.5000
0.3655 0.3655 0.7309
0.6345 0.6345 0.2691